# 1
12
Lattice="-3.157 5.103 1.229 -2.248 -4.116 -3.940 -3.555 -5.739 9.610" Properties=species:S:1:pos:R:3 comment="PBE-GGA Tb6Er3Tm2Th, optimized geometry" crystal_system=monoclinic m_tot_mub_per_atom=0.000 e_tot_ev_per_atom=-4.79 formation_energy_ev_per_atom=0.03 pbc="T T T"
Tb -6.879 -2.040 6.026
Tb -4.956 -0.689 0.357
Tb -2.081 -2.712 0.872
Tb -6.579 -5.088 4.317
Tb -4.005 -4.062 6.541
Tb -2.382 0.336 2.581
Er -4.178 -5.444 1.729
Er -4.783 0.692 5.169
Er -4.480 -2.376 3.449
Tm -2.551 -1.044 -2.218
Tm -2.855 2.031 -0.494
Th 0.000 0.000 0.000

***

# 2
18
Lattice="-7.348 -4.364 1.760 4.406 -7.527 -0.268 2.920 6.527 6.743" Properties=species:S:1:pos:R:3 comment="PBE-GGA TbEr5TmTh2, optimized geometry" crystal_system=tetragonal m_tot_mub_per_atom=0.000 e_tot_ev_per_atom=-4.84 formation_energy_ev_per_atom=0.35 pbc="T T T"
Tb 0.724 0.291 3.745
Tb -0.747 -5.655 4.491
Er -4.122 -5.466 3.408
Er -2.012 0.736 5.961
Er 4.099 0.102 4.828
Er 1.311 3.518 5.102
Er 0.776 -2.680 5.687
Er -1.333 -8.882 3.134
Er -0.798 -2.684 2.549
Er 1.990 -6.100 2.275
Er -1.471 -5.946 0.746
Er 0.000 0.000 0.000
Tm 2.927 -3.473 3.611
Tm -2.950 -1.891 4.625
Th 0.800 -3.386 0.108
Th -4.025 -3.602 1.058
Th 1.083 -8.290 0.434
Th -3.742 -8.505 1.384

***

# 3
18
Lattice="8.704 0.000 0.000 0.000 8.704 0.000 -4.352 -4.352 7.408" Properties=species:S:1:pos:R:3 comment="PBE-GGA Tb2ErTm5Th, optimized geometry" crystal_system=tetragonal m_tot_mub_per_atom=0.000 e_tot_ev_per_atom=-4.53 formation_energy_ev_per_atom=0.32 pbc="T T T"
Tb 0.992 3.360 0.000
Tb 5.344 0.992 0.000
Tb 3.360 7.712 0.000
Tb 7.712 5.344 0.000
Er 0.000 4.352 3.704
Er 4.352 0.000 3.704
Tm 6.876 2.524 2.020
Tm 2.524 -1.828 5.387
Tm -2.524 1.828 5.387
Tm -1.828 -2.524 5.387
Tm 1.828 2.524 5.387
Tm 6.180 6.876 2.020
Tm 2.524 1.828 2.020
Tm 1.828 6.180 2.020
Tm 4.352 4.352 0.000
Tm 0.000 0.000 0.000
Th 0.000 0.000 3.704
Th 4.352 4.352 3.704

***

# 4
12
Lattice="3.565 0.000 0.000 0.000 9.396 -0.766 0.000 -3.169 11.384" Properties=species:S:1:pos:R:3 comment="PBE-GGA TbEr3TmTh, optimized geometry" crystal_system=monoclinic m_tot_mub_per_atom=0.000 e_tot_ev_per_atom=-5.04 formation_energy_ev_per_atom=0.00 pbc="T T T"
Tb 0.891 0.606 3.790
Tb 2.674 5.620 6.828
Er 2.674 8.407 0.402
Er 0.891 -2.180 10.216
Er 0.891 4.061 4.146
Er 2.674 2.166 6.472
Er 2.674 2.547 1.466
Er 0.891 3.680 9.152
Tm 0.891 -0.780 7.019
Tm 2.674 7.006 3.599
Th 0.891 5.477 0.940
Th 2.674 0.750 9.677

***

# 5
12
Lattice="-4.429 3.378 2.502 -1.035 -5.865 -1.351 5.407 -2.212 10.073" Properties=species:S:1:pos:R:3 comment="PBE-GGA TbEr6Tm3Th2, optimized geometry" crystal_system=monoclinic m_tot_mub_per_atom=0.000 e_tot_ev_per_atom=-4.99 formation_energy_ev_per_atom=0.03 pbc="T T T"
Tb 0.000 0.000 0.000
Er -0.601 -1.962 9.066
Er -2.730 -2.410 3.376
Er 0.544 -2.736 2.158
Er 0.543 -5.075 7.768
Er 2.673 -2.289 7.847
Er -0.599 0.376 3.455
Tm 1.104 -5.433 4.326
Tm -1.161 0.735 6.897
Tm -0.028 -2.349 5.612
Th -2.166 -2.785 -0.067
Th -3.298 0.298 1.218

***

# 6
12
Lattice="3.552 0.000 0.000 0.000 10.592 -0.344 0.000 -3.160 10.118" Properties=species:S:1:pos:R:3 comment="PBE-GGA TbYEr3Th, optimized geometry" crystal_system=monoclinic m_tot_mub_per_atom=0.000 e_tot_ev_per_atom=-5.34 formation_energy_ev_per_atom=0.02 pbc="T T T"
Tb 0.888 -0.618 6.290
Tb 2.664 8.051 3.485
Y 0.888 0.413 2.899
Y 2.664 7.020 6.875
Er 2.664 9.110 0.115
Er 0.888 -1.678 9.660
Er 0.888 5.166 4.412
Er 2.664 2.266 5.362
Er 2.664 3.365 1.960
Er 0.888 4.067 7.815
Th 0.888 6.230 1.031
Th 2.664 1.202 8.744